No. 1
First-principles (PBE-GGA) data for a geometry-optimized Tb4Pt3Au structure, as listed in Alexandria via LeMat-Bulk.

Lattice parameters (Å, degrees): 3.779 4.569 10.654 90.00 90.00 90.00
Space group Pmm2 (No. 25)
Inequivalent atoms, fractional coordinates:
Tb  0.000  0.000  0.000
Tb  0.000  0.500  0.268
Tb  0.500  0.000  0.486
Tb  0.500  0.500  0.770
Pt  0.000  0.500  0.543
Pt  0.500  0.000  0.218
Pt  0.500  0.500  0.041
Au  0.000  0.000  0.717

uncorrected energy = -49.317 eV/cell
energy relative to the elements = -1175 meV per atom
spin magnetization = 0.0 μB/cell

=====

No. 2
First-principles (PBE-GGA) data for a geometry-optimized TbPtAu2 structure, as listed in Alexandria via LeMat-Bulk.

Lattice parameters (Å, degrees): 4.212 7.884 5.387 90.00 112.94 90.00
Space group P2_1/m (No. 11)
Inequivalent atoms, fractional coordinates:
Tb  0.064  0.250  0.125
Pt  0.232  0.750  0.467
Au  0.369  0.057  0.736

uncorrected energy = -40.297 eV/cell
energy relative to the elements = -731 meV per atom
spin magnetization = 0.0 μB/cell

=====

No. 3
First-principles (PBE-GGA) data for a geometry-optimized TbPt4Au structure, as listed in Alexandria via LeMat-Bulk.

Lattice parameters (Å, degrees): 7.580 7.580 7.580 90.00 90.00 90.00
Space group F-43m (No. 216)
Inequivalent atoms, fractional coordinates:
Tb  0.000  0.000  0.000
Pt  0.125  0.125  0.375
Au  0.250  0.250  0.750

uncorrected energy = -145.464 eV/cell
energy relative to the elements = -716 meV per atom
spin magnetization = 0.0 μB/cell

=====

No. 4
First-principles (PBE-GGA) data for a geometry-optimized Tb6Pt5Au structure, as listed in Alexandria via LeMat-Bulk.

Lattice parameters (Å, degrees): 4.993 7.070 7.853 90.00 108.38 90.00
Space group P2/m (No. 10)
Inequivalent atoms, fractional coordinates:
Tb  0.000  0.245  0.000
Tb  0.331  0.248  0.662
Pt  0.165  0.500  0.329
Pt  0.168  0.000  0.335
Pt  0.500  0.000  0.000
Au  0.500  0.500  0.000

uncorrected energy = -74.934 eV/cell
energy relative to the elements = -1139 meV per atom
spin magnetization = 0.0 μB/cell

=====

No. 5
First-principles (PBE-GGA) data for a geometry-optimized Tb7Pt2Au2 structure, as listed in Alexandria via LeMat-Bulk.

Lattice parameters (Å, degrees): 8.105 10.802 7.121 90.00 90.00 90.00
Space group Cmmm (No. 65)
Inequivalent atoms, fractional coordinates:
Tb  0.000  0.000  0.000
Tb  0.000  0.500  0.254
Tb  0.250  0.250  0.259
Pt  0.000  0.285  0.000
Au  0.201  0.000  0.500

uncorrected energy = -115.951 eV/cell
energy relative to the elements = -630 meV per atom
spin magnetization = 0.0 μB/cell

=====

No. 6
First-principles (PBE-GGA) data for a geometry-optimized Tb8Pt5Au structure, as listed in Alexandria via LeMat-Bulk.

Lattice parameters (Å, degrees): 8.839 8.839 8.753 90.00 90.00 90.00
Space group I-4 (No. 82)
Inequivalent atoms, fractional coordinates:
Tb  0.063  0.310  0.433
Tb  0.065  0.180  0.814
Pt  0.000  0.000  0.500
Pt  0.127  0.249  0.123
Au  0.000  0.500  0.750

uncorrected energy = -169.716 eV/cell
energy relative to the elements = -1024 meV per atom
spin magnetization = 0.0 μB/cell

=====

No. 7
First-principles (PBE-GGA) data for a geometry-optimized TbPt2Au structure, as listed in Alexandria via LeMat-Bulk.

Lattice parameters (Å, degrees): 6.722 6.722 6.722 90.00 90.00 90.00
Space group Fm-3m (No. 225)
Inequivalent atoms, fractional coordinates:
Tb  0.000  0.000  0.000
Pt  0.250  0.250  0.250
Au  0.000  0.000  0.500

uncorrected energy = -91.521 eV/cell
energy relative to the elements = -723 meV per atom
spin magnetization = 0.0 μB/cell

=====

No. 8
First-principles (PBE-GGA) data for a geometry-optimized TbPt2Au2 structure, as listed in Alexandria via LeMat-Bulk.

Lattice parameters (Å, degrees): 4.167 21.611 4.113 90.00 90.00 90.00
Space group Cmcm (No. 63)
Inequivalent atoms, fractional coordinates:
Tb  0.000  0.156  0.250
Pt  0.000  0.251  0.750
Pt  0.000  0.351  0.250
Au  0.000  0.051  0.750
Au  0.000  0.451  0.750

uncorrected energy = -106.864 eV/cell
energy relative to the elements = -690 meV per atom
spin magnetization = 0.0 μB/cell

=====

No. 9
First-principles (PBE-GGA) data for a geometry-optimized Tb5PtAu4 structure, as listed in Alexandria via LeMat-Bulk.

Lattice parameters (Å, degrees): 3.575 3.575 18.191 90.00 90.00 90.00
Space group P4/mmm (No. 123)
Inequivalent atoms, fractional coordinates:
Tb  0.000  0.000  0.000
Tb  0.000  0.000  0.203
Tb  0.000  0.000  0.406
Pt  0.500  0.500  0.500
Au  0.500  0.500  0.101
Au  0.500  0.500  0.302

uncorrected energy = -51.518 eV/cell
energy relative to the elements = -922 meV per atom
spin magnetization = 0.0 μB/cell

=====

No. 10
First-principles (PBE-GGA) data for a geometry-optimized TbPt3Au structure, as listed in Alexandria via LeMat-Bulk.

Lattice parameters (Å, degrees): 6.612 11.437 5.398 90.00 90.00 90.00
Space group Cmcm (No. 63)
Inequivalent atoms, fractional coordinates:
Tb  0.000  0.166  0.250
Pt  0.000  0.298  0.750
Pt  0.196  0.101  0.750
Au  0.000  0.500  0.000

uncorrected energy = -113.157 eV/cell
energy relative to the elements = -452 meV per atom
spin magnetization = 0.0 μB/cell

=====

No. 11
First-principles (PBE-GGA) data for a geometry-optimized TbPt3Au structure, as listed in Alexandria via LeMat-Bulk.

Lattice parameters (Å, degrees): 4.611 5.999 7.005 90.00 90.00 90.00
Space group Pmmn (No. 59, origin choice 2)
Inequivalent atoms, fractional coordinates:
Tb  0.250  0.250  0.193
Pt  0.250  0.033  0.761
Pt  0.250  0.750  0.076
Au  0.250  0.750  0.457

uncorrected energy = -57.704 eV/cell
energy relative to the elements = -564 meV per atom
spin magnetization = 0.0 μB/cell

=====

No. 12
First-principles (PBE-GGA) data for a geometry-optimized Tb8Te4Pt3Au structure, as listed in Alexandria via LeMat-Bulk.

Lattice parameters (Å, degrees): 8.3214 8.3214 22.1799 90.00 90.00 120.00
Space group R-3m (No. 166, hexagonal axes)
Inequivalent atoms, fractional coordinates:
Tb  0.0000  0.0000  0.2377
Tb  0.0085  0.5043  0.7607
Te  0.0000  0.0000  0.0000
Te  0.0000  0.5000  0.0000
Pt  0.0000  0.5000  0.5000
Au  0.0000  0.0000  0.5000

uncorrected energy = -271.763 eV/cell
formation energy without anion corrections = -1224 meV/atom
spin magnetization = 0.0 μB/cell

=====

No. 13
First-principles (PBE-GGA) data for a geometry-optimized TbThPtAu structure, as listed in Alexandria via LeMat-Bulk.

Lattice parameters (Å, degrees): 7.248 7.248 7.248 90.00 90.00 90.00
Space group F-43m (No. 216)
Inequivalent atoms, fractional coordinates:
Tb  0.000  0.000  0.000
Th  0.000  0.000  0.500
Pt  0.250  0.250  0.250
Au  0.250  0.250  0.750

uncorrected energy = -99.679 eV/cell
energy relative to the elements = -888 meV per atom
spin magnetization = 0.0 μB/cell

=====

No. 14
First-principles (PBE-GGA) data for a geometry-optimized TbThPtAu structure, as listed in Alexandria via LeMat-Bulk.

Lattice parameters (Å, degrees): 4.459 3.877 11.381 90.00 90.00 90.00
Space group Amm2 (No. 38)
Inequivalent atoms, fractional coordinates:
Tb  0.000  0.000  0.000
Th  0.500  0.000  0.275
Pt  0.000  0.000  0.740
Au  0.500  0.000  0.553

uncorrected energy = -51.070 eV/cell
energy relative to the elements = -1042 meV per atom
spin magnetization = 0.0 μB/cell

=====

No. 15
First-principles (PBE-GGA) data for a geometry-optimized TbTmPtAu structure, as listed in Alexandria via LeMat-Bulk.

Lattice parameters (Å, degrees): 7.060 7.060 7.060 90.00 90.00 90.00
Space group F-43m (No. 216)
Inequivalent atoms, fractional coordinates:
Tb  0.000  0.000  0.000
Tm  0.000  0.000  0.500
Pt  0.250  0.250  0.750
Au  0.250  0.250  0.250

uncorrected energy = -90.478 eV/cell
energy relative to the elements = -1050 meV per atom
spin magnetization = 0.0 μB/cell

=====

No. 16
First-principles (PBE-GGA) data for a geometry-optimized TbTmPtAu structure, as listed in Alexandria via LeMat-Bulk.

Lattice parameters (Å, degrees): 4.586 3.744 10.650 90.00 90.00 90.00
Space group Amm2 (No. 38)
Inequivalent atoms, fractional coordinates:
Tb  0.000  0.000  0.000
Tm  0.500  0.000  0.276
Pt  0.000  0.000  0.729
Au  0.500  0.000  0.552

uncorrected energy = -45.608 eV/cell
energy relative to the elements = -1096 meV per atom
spin magnetization = 0.0 μB/cell

=====

No. 17
First-principles (PBE-GGA) data for a geometry-optimized TcPtAu2 structure, as listed in Alexandria via LeMat-Bulk.

Lattice parameters (Å, degrees): 9.353 2.789 5.111 90.00 98.19 90.00
Space group Cm (No. 8)
Inequivalent atoms, fractional coordinates:
Tc  0.000  0.000  0.000
Pt  0.240  0.500  0.196
Au  0.251  0.000  0.721
Au  0.495  0.000  0.480

uncorrected energy = -44.356 eV/cell
energy relative to the elements = 196 meV per atom
spin magnetization = 0.0 μB/cell

=====

No. 18
First-principles (PBE-GGA) data for a geometry-optimized TcPt2Au structure, as listed in Alexandria via LeMat-Bulk.

Lattice parameters (Å, degrees): 2.8069 2.8069 27.9097 90.00 90.00 120.00
Space group R3m (No. 160, hexagonal axes)
Inequivalent atoms, fractional coordinates:
Tc  0.0000  0.0000  0.0000
Pt  0.0000  0.0000  0.2569
Pt  0.0000  0.0000  0.5055
Au  0.0000  0.0000  0.7515

uncorrected energy = -76.848 eV/cell
energy relative to the elements = 27 meV per atom
spin magnetization = 0.0 μB/cell

=====

No. 19
First-principles (PBE-GGA) data for a geometry-optimized TcPtAu2 structure, as listed in Alexandria via LeMat-Bulk.

Lattice parameters (Å, degrees): 6.448 6.448 6.448 90.00 90.00 90.00
Space group Fm-3m (No. 225)
Inequivalent atoms, fractional coordinates:
Tc  0.000  0.000  0.000
Pt  0.000  0.000  0.500
Au  0.250  0.250  0.250

uncorrected energy = -85.705 eV/cell
energy relative to the elements = 384 meV per atom
spin magnetization = 7.5 μB/cell

=====

No. 20
First-principles (PBE-GGA) data for a geometry-optimized TcPtAu2 structure, as listed in Alexandria via LeMat-Bulk.

Lattice parameters (Å, degrees): 3.992 3.992 8.455 90.00 90.00 90.00
Space group I4/mmm (No. 139)
Inequivalent atoms, fractional coordinates:
Tc  0.000  0.000  0.000
Pt  0.000  0.000  0.500
Au  0.000  0.500  0.250

uncorrected energy = -43.430 eV/cell
energy relative to the elements = 312 meV per atom
spin magnetization = 5.8 μB/cell

=====

No. 21
First-principles (PBE-GGA) data for a geometry-optimized Tc2PtAu structure, as listed in Alexandria via LeMat-Bulk.

Lattice parameters (Å, degrees): 9.335 2.719 4.950 90.00 98.68 90.00
Space group Cm (No. 8)
Inequivalent atoms, fractional coordinates:
Tc  0.000  0.000  0.000
Tc  0.245  0.000  0.777
Pt  0.239  0.500  0.254
Au  0.494  0.000  0.508

uncorrected energy = -59.119 eV/cell
energy relative to the elements = 123 meV per atom
spin magnetization = 0.0 μB/cell

=====

No. 22
First-principles (PBE-GGA) data for a geometry-optimized TcPt2Au structure, as listed in Alexandria via LeMat-Bulk.

Lattice parameters (Å, degrees): 3.961 3.961 8.034 90.00 90.00 90.00
Space group I4/mmm (No. 139)
Inequivalent atoms, fractional coordinates:
Tc  0.000  0.000  0.000
Pt  0.000  0.500  0.250
Au  0.000  0.000  0.500

uncorrected energy = -50.770 eV/cell
energy relative to the elements = 85 meV per atom
spin magnetization = 0.0 μB/cell

=====

No. 23
First-principles (PBE-GGA) data for a geometry-optimized TcPt2Au structure, as listed in Alexandria via LeMat-Bulk.

Lattice parameters (Å, degrees): 4.843 4.843 2.777 90.00 90.00 90.00
Space group P4/mmm (No. 123)
Inequivalent atoms, fractional coordinates:
Tc  0.000  0.000  0.000
Pt  0.000  0.500  0.500
Au  0.500  0.500  0.000

uncorrected energy = -24.853 eV/cell
energy relative to the elements = 218 meV per atom
spin magnetization = 1.2 μB/cell

=====

No. 24
First-principles (PBE-GGA) data for a geometry-optimized TcPtAu structure, as listed in Alexandria via LeMat-Bulk.

Lattice parameters (Å, degrees): 4.5625 4.5625 2.6966 90.00 90.00 120.00
Space group P-6m2 (No. 187)
Inequivalent atoms, fractional coordinates:
Tc  0.0000  0.0000  0.0000
Pt  0.3333  0.6667  0.5000
Au  0.6667  0.3333  0.5000

uncorrected energy = -18.760 eV/cell
energy relative to the elements = 308 meV per atom
spin magnetization = 0.8 μB/cell

=====

No. 25
First-principles (PBE-GGA) data for a geometry-optimized TcPtAu structure, as listed in Alexandria via LeMat-Bulk.

Lattice parameters (Å, degrees): 2.813 2.813 12.149 90.00 90.00 90.00
Space group I4mm (No. 107)
Inequivalent atoms, fractional coordinates:
Tc  0.000  0.000  0.000
Pt  0.000  0.000  0.646
Au  0.000  0.000  0.328

uncorrected energy = -39.007 eV/cell
energy relative to the elements = 60 meV per atom
spin magnetization = 0.0 μB/cell

=====

No. 26
First-principles (PBE-GGA) data for a geometry-optimized TcPtAu2 structure, as listed in Alexandria via LeMat-Bulk.

Lattice parameters (Å, degrees): 2.844 4.768 9.856 90.00 90.00 90.00
Space group Cmmm (No. 65)
Inequivalent atoms, fractional coordinates:
Tc  0.000  0.000  0.000
Pt  0.000  0.000  0.500
Au  0.000  0.500  0.247

uncorrected energy = -43.445 eV/cell
energy relative to the elements = 310 meV per atom
spin magnetization = 0.6 μB/cell